Density functional theory data (PBE) for crystalline Ba2YCrCl at its relaxed geometry.

Structure (POSCAR):
```
Ba2YCrCl
1.0
6.1380 0.0000 0.0000
0.0000 6.1380 0.0000
0.0000 0.0000 4.9424
Ba Y Cr Cl
2 1 1 1
direct
0.0000 0.5000 0.0000
0.5000 0.0000 0.0000
0.0000 0.0000 0.5000
0.0000 0.0000 0.0000
0.5000 0.5000 0.5000
```

Values from the calculation:
D(E_F): 0.85 states/eV/atom
Formation energy without anion corrections: 0.184 eV per atom
Density: 4.02 g cm⁻³

Density functional theory data (PBE) for crystalline VCoIr at its relaxed geometry.

Structure (POSCAR):
```
VCoIr
1.0
-1.2980 1.2980 6.4178
1.2980 -1.2980 6.4178
1.2980 1.2980 -6.4178
V Co Ir
1 1 1
direct
0.0000 0.0000 0.0000
0.8252 0.8252 0.0000
0.1902 0.1902 0.0000
```

Values from the calculation:
D(E_F): 1.07 states/eV/atom
DFT total energy: -7.871 eV per atom
Density: 11.60 g cm⁻³